A crystal of GaHg2C relaxed with PBEsol. Source: the Alexandria database, functional SCAN.

Unit cell a=6.508 b=6.508 c=6.508 alpha=90.00 beta=90.00 gamma=90.00
Space group Fm-3m (No. 225)
One atom of each set of equivalent atoms:
1 Ga 0.000 0.000 0.000
2 Hg 0.250 0.250 0.250
3 C 0.000 0.000 0.500

Output
* formation enthalpy at 0 K: 1.502 eV per atom


A crystal of GaC3I relaxed with PBEsol. Source: the Alexandria database, functional SCAN.

Unit cell a=4.180 b=4.180 c=4.180 alpha=90.00 beta=90.00 gamma=90.00
Space group Pm-3m (No. 221)
One atom of each set of equivalent atoms:
1 Ga 0.000 0.000 0.000
2 C 0.000 0.500 0.500
3 I 0.500 0.500 0.500

Output
* ΔE_f (raw): 3.471 eV per atom


A crystal of GaCI2O relaxed with PBEsol. Source: the Alexandria database, functional SCAN.

Unit cell a=6.072 b=6.072 c=3.019 alpha=90.00 beta=90.00 gamma=90.00
Space group P4/mmm (No. 123)
One atom of each set of equivalent atoms:
1 Ga 0.000 0.000 0.000
2 C 0.500 0.500 0.500
3 I 0.000 0.500 0.500
4 O 0.500 0.500 0.000

Output
* ΔE_f (raw): 0.913 eV per atom


A crystal of GaSnC2I relaxed with PBEsol. Source: the Alexandria database, functional SCAN.

Unit cell a=4.148 b=4.148 c=5.882 alpha=90.00 beta=90.00 gamma=90.00
Space group P4/mmm (No. 123)
One atom of each set of equivalent atoms:
1 Ga 0.000 0.000 0.000
2 Sn 0.000 0.000 0.500
3 C 0.000 0.500 0.000
4 I 0.500 0.500 0.500

Output
* ΔE_f (raw): 1.988 eV per atom


In the order shown, the computed magnetic moment values come out to 0.00; 1.71; 0.00; 1.85 μB/cell.